No. 1
Computed, not measured: a geometry-optimized WCNF2 structure at the GGA-PBEsol level of DFT.

Cell and atoms, written as POSCAR:
```
WCNF2
1.0
3.868 0.000 0.000
0.000 3.989 0.000
0.000 0.000 3.989
C F W N
1 2 1 1
direct
0.500 0.500 0.500
0.000 0.000 0.500
0.000 0.500 0.000
0.000 0.000 0.000
0.500 0.000 0.000
```

* energy relative to the elements, uncorrected: 2.4 eV/f.u.

***

No. 2
Computed, not measured: a geometry-optimized TiOF2 structure at the GGA-PBEsol level of DFT.

Cell and atoms, written as POSCAR:
```
TiOF2
1.0
3.768 0.000 0.000
0.000 3.768 0.000
0.000 0.000 7.795
O F Ti
2 4 2
direct
0.000 0.500 0.500
0.500 0.000 0.000
0.000 0.000 0.750
0.000 0.000 0.250
0.500 0.000 0.500
0.000 0.500 0.000
0.000 0.000 0.000
0.000 0.000 0.500
```

* offset from the most stable computed form: 26 meV per atom
* energy relative to the elements, uncorrected: -12.6 eV/f.u.

***

No. 3
Computed, not measured: a geometry-optimized LiBC structure at the GGA-PBEsol level of DFT.

Cell and atoms, written as POSCAR:
```
LiBC
1.0
2.740 0.000 0.000
-1.370 2.373 0.000
0.000 0.000 6.940
Li B C
2 2 2
direct
0.000 0.000 0.000
0.000 0.000 0.500
0.667 0.333 0.250
0.333 0.667 0.750
0.667 0.333 0.750
0.333 0.667 0.250
```

* formation energy from the elements: -398 meV per atom

***

No. 4
Computed, not measured: a geometry-optimized ZrCrO3 structure at the GGA-PBEsol level of DFT.

Cell and atoms, written as POSCAR:
```
ZrCrO3
1.0
-1.182 2.927 -3.640
1.570 -3.678 -3.468
-8.362 -3.487 -0.088
O Cr Zr
12 4 4
direct
0.793 0.783 0.097
0.707 0.283 0.097
0.674 0.112 0.750
0.826 0.612 0.750
0.293 0.717 0.903
0.174 0.388 0.250
0.207 0.217 0.597
0.207 0.217 0.903
0.707 0.283 0.403
0.793 0.783 0.403
0.326 0.888 0.250
0.293 0.717 0.597
0.000 0.500 0.000
0.500 0.000 0.500
0.000 0.500 0.500
0.500 0.000 0.000
0.454 0.448 0.750
0.954 0.052 0.250
0.546 0.552 0.250
0.046 0.948 0.750
```

* energy relative to the elements, uncorrected: -12.5 eV/f.u.

***

No. 5
Computed, not measured: a geometry-optimized LiZnRu2 structure at the GGA-PBEsol level of DFT.

Cell and atoms, written as POSCAR:
```
LiZnRu2
1.0
-0.281 0.385 2.543
-2.086 -0.956 -1.196
2.865 -8.204 1.559
Ru Zn Li
2 1 1
direct
0.000 0.000 0.254
0.000 0.000 0.746
0.500 0.500 0.500
0.500 0.500 0.000
```

* formation energy from the elements: 234 meV per atom

***

No. 6
Computed, not measured: a geometry-optimized Al2CoIr structure at the GGA-PBEsol level of DFT.

Cell and atoms, written as POSCAR:
```
Al2CoIr
1.0
-0.796 -2.572 -1.152
2.943 0.373 -2.867
2.665 -1.936 2.483
Ir Co Al
1 1 2
direct
0.500 0.000 0.000
0.500 0.500 0.500
0.000 0.500 0.000
0.000 0.000 0.500
```

* offset from the most stable computed form: 26 meV per atom
* formation energy from the elements: -761 meV per atom

***

No. 7
Computed, not measured: a geometry-optimized CsAgCl2 structure at the GGA-PBEsol level of DFT.

Cell and atoms, written as POSCAR:
```
CsAgCl2
1.0
-3.664 1.559 5.473
6.159 -2.046 1.922
0.560 5.458 -3.963
Cl Cs Ag
4 2 2
direct
0.915 0.540 0.125
0.415 0.875 0.790
0.085 0.210 0.625
0.585 0.375 0.460
0.500 0.750 0.250
0.000 0.000 0.000
0.500 0.250 0.750
0.000 0.500 0.500
```

* offset from the most stable computed form: 33 meV per atom
* energy relative to the elements, uncorrected: -4.7 eV/f.u.

***

No. 8
Computed, not measured: a geometry-optimized BiPtSeS2 structure at the GGA-PBEsol level of DFT.

Cell and atoms, written as POSCAR:
```
BiPtSeS2
1.0
4.547 0.000 0.000
0.000 4.547 0.000
0.000 0.000 5.592
Bi Se S Pt
1 1 2 1
direct
0.000 0.000 0.500
0.000 0.000 0.000
0.000 0.500 0.000
0.500 0.000 0.000
0.500 0.500 0.500
```

* energy relative to the elements, uncorrected: 4.7 eV/f.u.

***

Number 1: theoretical density 6.69 g cm⁻³, total energy -33.40 eV/cell. Number 2: theoretical density 3.06 g cm⁻³, total energy -60.12 eV/cell. Number 3: theoretical density 2.19 g cm⁻³, total energy -39.64 eV/cell. Number 4: theoretical density 5.50 g cm⁻³, total energy -190.15 eV/cell. Number 5: theoretical density 8.50 g cm⁻³, total energy -22.96 eV/cell. Number 6: theoretical density 10.17 g cm⁻³, total energy -28.79 eV/cell. Number 7: theoretical density 4.34 g cm⁻³, total energy -25.94 eV/cell. Number 8: theoretical density 7.86 g cm⁻³, total energy -19.18 eV/cell.